Entry 1:
Entry from Alexandria via LeMat-Bulk: an optimized crystal structure of Na2CuRh3F12 (GGA-PBE).

Results
The value obtained for the density of states at the Fermi level is 7.715 states/eV/f.u. The value obtained for the raw total energy is -4.528 eV/atom.

Cell: 7.113 7.113 7.113 Å, 62.61 62.61 62.61°
Fractional positions:
Rh1 0.000 0.000 0.500
Cu1 0.000 0.000 0.000
F1 0.710 0.130 0.710
F2 0.400 0.874 0.874
Rh2 0.500 0.000 0.000
Na1 0.652 0.652 0.652
F3 0.710 0.710 0.130
F4 0.126 0.600 0.126
F5 0.600 0.126 0.126
F6 0.290 0.870 0.290
F7 0.870 0.290 0.290
F8 0.126 0.126 0.600
F9 0.874 0.400 0.874
Na2 0.348 0.348 0.348
Rh3 0.000 0.500 0.000
F10 0.130 0.710 0.710
F11 0.290 0.290 0.870
F12 0.874 0.874 0.400

***

Entry 2:
Entry from Alexandria via LeMat-Bulk: an optimized crystal structure of NaCuRuF6 (GGA-PBE).

Results
The value obtained for the density of states at the Fermi level is 6.485 states/eV/f.u. The value obtained for the raw total energy is -4.714 eV/atom.

Cell: 5.452 5.452 8.931 Å, 90.00 90.00 120.00°
Fractional positions:
Na1 0.667 0.333 0.750
F1 0.037 0.680 0.875
F2 0.357 0.037 0.125
F3 0.037 0.357 0.625
F4 0.320 0.357 0.875
F5 0.357 0.320 0.375
F6 0.320 0.963 0.625
F7 0.643 0.680 0.625
Cu1 0.000 0.000 0.500
Ru1 0.333 0.667 0.750
F8 0.680 0.643 0.125
Cu2 0.000 0.000 0.000
F9 0.963 0.643 0.375
F10 0.680 0.037 0.375
Ru2 0.667 0.333 0.250
F11 0.963 0.320 0.125
Na2 0.333 0.667 0.250
F12 0.643 0.963 0.875

***

Entry 3:
Entry from Alexandria via LeMat-Bulk: an optimized crystal structure of NaSr7Cu8S8F8 (GGA-PBE).

Results
The value obtained for the density of states at the Fermi level is 6.117 states/eV/f.u. The value obtained for the raw total energy is -4.935 eV/atom.

Cell: 7.912 7.912 8.752 Å, 90.00 90.00 90.00°
Fractional positions:
Cu1 0.000 0.752 0.331
Sr1 0.751 0.751 0.668
Cu2 0.749 0.500 0.334
S1 0.500 0.500 0.496
S2 0.000 0.000 0.490
Sr2 0.249 0.249 0.668
S3 0.749 0.749 0.178
F1 0.500 0.748 0.835
F2 0.746 0.000 0.830
S4 0.000 0.500 0.491
Sr3 0.751 0.249 0.668
Na1 0.000 0.000 0.965
Sr4 0.500 0.500 0.006
Cu3 0.752 0.000 0.331
Sr5 0.249 0.751 0.668
Cu4 0.500 0.251 0.334
S5 0.500 0.000 0.491
S6 0.251 0.749 0.178
F3 0.252 0.500 0.835
F4 0.000 0.746 0.830
F5 0.748 0.500 0.835
Cu5 0.248 0.000 0.331
Cu6 0.500 0.749 0.334
Sr6 0.000 0.500 0.001
Sr7 0.500 0.000 0.001
Cu7 0.251 0.500 0.334
Cu8 0.000 0.248 0.331
S7 0.251 0.251 0.178
F6 0.500 0.252 0.835
S8 0.749 0.251 0.178
F7 0.000 0.254 0.830
F8 0.254 0.000 0.830

***

Entry 4:
Entry from Alexandria via LeMat-Bulk: an optimized crystal structure of Na2CuSbF6 (GGA-PBE).

Results
The value obtained for the raw total energy is -4.262 eV/atom.

Cell: 6.150 6.150 6.150 Å, 60.00 60.00 60.00°
Fractional positions:
F1 0.748 0.748 0.252
Sb1 0.000 0.000 0.000
F2 0.748 0.252 0.748
F3 0.252 0.748 0.252
Na1 0.750 0.750 0.750
F4 0.252 0.252 0.748
F5 0.748 0.252 0.252
F6 0.252 0.748 0.748
Cu1 0.500 0.500 0.500
Na2 0.250 0.250 0.250

***

Entry 5:
Entry from Alexandria via LeMat-Bulk: an optimized crystal structure of Na2ScCuF6 (GGA-PBE).

Results
The value obtained for the density of states at the Fermi level is 0.000 states/eV/f.u. The calculation puts the distance to the lowest polymorph of the same formula at 0.000 eV per atom.

Cell: 5.552 5.465 9.561 Å, 90.00 90.13 90.00°
Fractional positions:
F1 0.158 0.298 0.651
Sc1 0.000 0.500 0.500
Cu1 0.000 0.500 0.000
Na1 0.501 0.501 0.716
F2 0.187 0.212 0.001
F3 0.342 0.798 0.849
Na2 0.001 0.999 0.216
F4 0.313 0.712 0.499
F5 0.159 0.291 0.353
Cu2 0.500 0.000 0.500
F6 0.341 0.791 0.147
F7 0.842 0.702 0.349
Na3 0.499 0.499 0.284
F8 0.841 0.709 0.647
Sc2 0.500 0.000 0.000
F9 0.687 0.288 0.501
F10 0.658 0.202 0.151
Na4 0.999 0.001 0.784
F11 0.659 0.209 0.853
F12 0.813 0.788 0.999

***

Entry 6:
Entry from Alexandria via LeMat-Bulk: an optimized crystal structure of NaScCu2F8 (GGA-PBE).

Results
The value obtained for the density of states at the Fermi level is 2.861 states/eV/f.u. The value obtained for the raw total energy is -5.037 eV/atom.

Cell: 5.311 5.311 6.394 Å, 114.54 114.54 90.00°
Fractional positions:
F1 0.319 0.978 0.353
Sc1 0.000 0.000 0.000
F2 0.034 0.375 0.353
Cu1 0.500 0.500 0.000
F3 0.157 0.631 0.882
Cu2 0.250 0.750 0.500
F4 0.022 0.966 0.647
F5 0.726 0.251 0.882
F6 0.749 0.843 0.118
F7 0.625 0.681 0.647
Na1 0.750 0.250 0.500
F8 0.369 0.274 0.118